{"formula": "DyMgB5O10", "functional": "PBE", "state": "optimized geometry", "sg": "No. 14", "total_energy_ev_per_atom": -7.94, "raw_formation_energy_ev_per_atom": -2.695, "m_tot_mub_per_atom": 0.000, "lattice": [[7.6468, 0.0000, 0.0000], [0.0000, 8.6304, -0.0123], [0.0000, 0.5723, 9.3991]], "species": ["Dy", "Dy", "Dy", "Dy", "Mg", "Mg", "Mg", "Mg", "B", "B", "B", "B", "B", "B", "B", "B", "B", "B", "B", "B", "B", "B", "B", "B", "B", "B", "B", "B", "O", "O", "O", "O", "O", "O", "O", "O", "O", "O", "O", "O", "O", "O", "O", "O", "O", "O", "O", "O", "O", "O", "O", "O", "O", "O", "O", "O", "O", "O", "O", "O", "O", "O", "O", "O", "O", "O", "O", "O"], "fractional_positions": [[0.8107, 0.1871, 0.7592], [0.1893, 0.8129, 0.2408], [0.3107, 0.3129, 0.7408], [0.6893, 0.6871, 0.2592], [0.0914, 0.8982, 0.6280], [0.9086, 0.1018, 0.3720], [0.5914, 0.6018, 0.8720], [0.4086, 0.3982, 0.1280], [0.1734, 0.0163, 0.8964], [0.8266, 0.9837, 0.1036], [0.6734, 0.4837, 0.6036], [0.3266, 0.5163, 0.3964], [0.4245, 0.9159, 0.7433], [0.5755, 0.0841, 0.2567], [0.9245, 0.5841, 0.7567], [0.0755, 0.4159, 0.2433], [0.1882, 0.5653, 0.9112], [0.8118, 0.4347, 0.0888], [0.6882, 0.9347, 0.5888], [0.3118, 0.0653, 0.4112], [0.5311, 0.2769, 0.4448], [0.4689, 0.7231, 0.5552], [0.0311, 0.2231, 0.0552], [0.9689, 0.7769, 0.9448], [0.3996, 0.8406, 0.0062], [0.6004, 0.1594, 0.9938], [0.8996, 0.6594, 0.4938], [0.1004, 0.3406, 0.5062], [0.0897, 0.5098, 0.8024], [0.9103, 0.4902, 0.1976], [0.5897, 0.9902, 0.6976], [0.4103, 0.0098, 0.3024], [0.1263, 0.6809, 0.9914], [0.8737, 0.3191, 0.0086], [0.6263, 0.8191, 0.5086], [0.3737, 0.1809, 0.4914], [0.6073, 0.3254, 0.5816], [0.3927, 0.6746, 0.4184], [0.1073, 0.1746, 0.9184], [0.8927, 0.8254, 0.0816], [0.2914, 0.0353, 0.7708], [0.7086, 0.9647, 0.2292], [0.7914, 0.4647, 0.7292], [0.2086, 0.5353, 0.2708], [0.3490, 0.4944, 0.9267], [0.6510, 0.5056, 0.0733], [0.8490, 0.0056, 0.5733], [0.1510, 0.9944, 0.4267], [0.2300, 0.4527, 0.5218], [0.7700, 0.5473, 0.4782], [0.7300, 0.0473, 0.9782], [0.2700, 0.9527, 0.0218], [0.3501, 0.8182, 0.6355], [0.6499, 0.1818, 0.3645], [0.8501, 0.6818, 0.8645], [0.1499, 0.3182, 0.1355], [0.4671, 0.8150, 0.8744], [0.5329, 0.1850, 0.1256], [0.9671, 0.6850, 0.6256], [0.0329, 0.3150, 0.3744], [0.0502, 0.2578, 0.6260], [0.9498, 0.7422, 0.3740], [0.5502, 0.2422, 0.8740], [0.4498, 0.7578, 0.1260], [0.0297, 0.9131, 0.8515], [0.9703, 0.0869, 0.1485], [0.5297, 0.5869, 0.6485], [0.4703, 0.4131, 0.3515]]}